[1]
DFT (GGA-PBE) results for a relaxed structure of MnCdHg.

Results
Fermi-level density of states = 1.9 states/eV per cell
ΔE_f = 286 meV/atom
space group = P3m1
theoretical density = 10.08 g/cm³

a b c (Å): 3.1602 3.1602 7.0115
angles (deg): 90.00 90.00 120.00
Last column: magnetic moment on the atom in μB.
Positions (direct):
Cd: 0.0000 0.0000 0.9842  -0.03
Hg: 0.6667 0.3333 0.3506  -0.01
Mn: 0.3333 0.6667 0.6652  3.79

---

[2]
DFT (GGA-PBE) results for a relaxed structure of Mn2CdHg.

Results
Fermi-level density of states = 2.9 states/eV per cell
ΔE_f = 354 meV/atom
space group = Imm2
theoretical density = 9.78 g/cm³

a b c (Å): 5.6348 5.6348 5.6348
angles (deg): 148.15 129.85 60.64
Last column: magnetic moment on the atom in μB.
Positions (direct):
Cd: 0.5052 0.5052 0.0000  -0.06
Hg: 0.2411 0.7411 0.5000  -0.05
Mn: 0.9918 0.9918 0.0000  3.54
Mn: 0.7619 0.2619 0.5000  3.56

---

[3]
DFT (GGA-PBE) results for a relaxed structure of MnCdHg.

Results
Fermi-level density of states = 2.1 states/eV per cell
ΔE_f = 297 meV/atom
space group = Imm2
theoretical density = 10.35 g/cm³

a b c (Å): 5.1565 5.1565 5.1565
angles (deg): 144.83 130.96 61.77
Last column: magnetic moment on the atom in μB.
Positions (direct):
Cd: 0.9966 0.9966 0.0000  -0.02
Hg: 0.6685 0.6685 0.0000  0.00
Mn: 0.3350 0.3350 0.0000  3.83

---

[4]
DFT (GGA-PBE) results for a relaxed structure of Mn2CdHg.

Results
Fermi-level density of states = 2.9 states/eV per cell
ΔE_f = 321 meV/atom
space group = P2/m
theoretical density = 9.76 g/cm³

a b c (Å): 3.8308 3.0847 6.8125
angles (deg): 63.32 90.00 90.00
Last column: magnetic moment on the atom in μB.
Positions (direct):
Cd: 0.5000 0.2500 0.2500  -0.07
Hg: 0.5000 0.7500 0.7500  -0.07
Mn: 0.0000 0.0012 0.9984  3.69
Mn: 0.0000 0.4988 0.5016  3.69

---

[5]
DFT (GGA-PBE) results for a relaxed structure of Mn2NbCdHg.

Results
Fermi-level density of states = 13.6 states/eV per cell
ΔE_f = 2086 meV/atom
space group = P4/mmm
theoretical density = 7.42 g/cm³

a b c (Å): 4.7573 5.1028 4.7573
angles (deg): 90.00 90.00 90.00
Last column: magnetic moment on the atom in μB.
Positions (direct):
Nb: 0.0000 0.5000 0.0000  -0.43
Mn: 0.0000 0.0000 0.5000  0.47
Mn: 0.5000 0.0000 0.0000  0.03
Hg: 0.0000 0.0000 0.0000  0.01
Cd: 0.5000 0.5000 0.5000  0.01

---

[6]
DFT (GGA-PBE) results for a relaxed structure of TaMnCd2Hg.

Results
Fermi-level density of states = 3.6 states/eV per cell
ΔE_f = 781 meV/atom
space group = P4/mmm
theoretical density = 9.51 g/cm³

a b c (Å): 5.0950 4.4497 5.0950
angles (deg): 90.00 90.00 90.00
Last column: magnetic moment on the atom in μB.
Positions (direct):
Cd: 0.0000 0.0000 0.5000  0.01
Cd: 0.5000 0.0000 0.0000  0.00
Hg: 0.5000 0.5000 0.5000  0.00
Mn: 0.0000 0.0000 0.0000  1.34
Ta: 0.0000 0.5000 0.0000  -0.41

---

[7]
DFT (GGA-PBE) results for a relaxed structure of MnCdHgTe2.

Results
Fermi-level density of states = 6.1 states/eV per cell
space group = P4/mmm
raw formation energy = 294.9 meV/atom
theoretical density = 7.76 g/cm³

a b c (Å): 4.9852 5.3656 4.9852
angles (deg): 90.00 90.00 90.00
Positions (direct):
Te: 0.0000 0.0000 0.5000
Te: 0.5000 0.0000 0.0000
Hg: 0.5000 0.5000 0.5000
Mn: 0.0000 0.0000 0.0000
Cd: 0.0000 0.5000 0.0000

---

[8]
DFT (GGA-PBE) results for a relaxed structure of MnCd2HgTe.

Results
Fermi-level density of states = 4.6 states/eV per cell
space group = P4/mmm
raw formation energy = 557.5 meV/atom
theoretical density = 5.88 g/cm³

a b c (Å): 5.8649 4.9902 5.8649
angles (deg): 90.00 90.00 90.00
Last column: magnetic moment on the atom in μB.
Positions (direct):
Te: 0.0000 0.0000 0.0000  -0.06
Hg: 0.5000 0.5000 0.5000  -0.01
Mn: 0.0000 0.5000 0.0000  3.73
Cd: 0.0000 0.0000 0.5000  0.02
Cd: 0.5000 0.0000 0.0000  -0.03

---

[9]
DFT (GGA-PBE) results for a relaxed structure of TmMnCdHg.

Results
Fermi-level density of states = 2.2 states/eV per cell
ΔE_f = -63 meV/atom
space group = F-43m
theoretical density = 10.42 g/cm³

a b c (Å): 4.9457 4.9457 4.9457
angles (deg): 60.00 60.00 60.00
Last column: magnetic moment on the atom in μB.
Positions (direct):
Tm: 0.7500 0.7500 0.7500  -0.08
Hg: 0.0000 0.0000 0.0000  -0.02
Mn: 0.2500 0.2500 0.2500  3.94
Cd: 0.5000 0.5000 0.5000  -0.03

---

[10]
DFT (GGA-PBE) results for a relaxed structure of CdHg2Mo.

Results
Fermi-level density of states = 1.8 states/eV per cell
ΔE_f = 408 meV/atom
space group = Cmm2
theoretical density = 12.29 g/cm³

a b c (Å): 2.9239 2.9239 9.6396
angles (deg): 90.00 90.00 91.91
Positions (direct):
Cd: 0.5000 0.5000 0.7248
Hg: 0.0000 0.0000 0.9959
Hg: 0.5000 0.5000 0.2768
Mo: 0.0000 0.0000 0.5025

---

[11]
DFT (GGA-PBE) results for a relaxed structure of CdHg2Mo.

Results
Fermi-level density of states = 1.1 states/eV per cell
ΔE_f = 425 meV/atom
space group = Cmmm
theoretical density = 12.87 g/cm³

a b c (Å): 5.3106 5.3106 2.9903
angles (deg): 90.00 90.00 111.18
Positions (direct):
Cd: 0.0000 0.5000 0.5000
Hg: 0.0000 0.0000 0.0000
Hg: 0.5000 0.5000 0.0000
Mo: 0.5000 0.0000 0.5000

---

[12]
DFT (GGA-PBE) results for a relaxed structure of CdHg2Mo.

Results
Fermi-level density of states = 1.5 states/eV per cell
ΔE_f = 451 meV/atom
space group = P4/mmm
theoretical density = 12.64 g/cm³

a b c (Å): 2.9453 2.9453 9.2311
angles (deg): 90.00 90.00 90.00
Positions (direct):
Cd: 0.5000 0.5000 0.7500
Hg: 0.0000 0.0000 0.0168
Hg: 0.0000 0.0000 0.4832
Mo: 0.5000 0.5000 0.2500

---

no.,V (Å³/f.u.)
1,60.6
2,71.8
3,59.0
4,71.9
5,115.5
6,115.5
7,133.3
8,171.6
9,85.5
10,82.4
11,78.6
12,80.1